Nd3In2Ir: optimized geometry, GGA-PBE.

a = 8.058 Å, b = 6.891 Å, c = 8.091 Å
α = 84.02°, β = 79.74°, γ = 54.22°
Fractional positions:
Nd: 0.096 0.360 0.768
Nd: 0.904 0.640 0.232
Nd: 0.675 0.000 0.828
Nd: 0.456 0.640 0.768
Nd: 0.544 0.360 0.232
Nd: 0.325 0.000 0.172
In: 0.129 0.743 0.500
In: 0.500 0.000 0.500
In: 0.000 0.000 0.000
In: 0.871 0.257 0.500
Ir: 0.708 0.585 0.000
Ir: 0.292 0.415 0.000

Calculated values
D(E_F)   0.75 states/eV per atom
Calculated density   7.9 g/cm3
Total DFT energy (no corrections)   -62.284 eV/cell